Compound: La3BeSi
Source: Alexandria
Functional: PBE
Structure: relaxed

Unit cell a=5.3016 b=5.3016 c=5.3016 alpha=90.00 beta=90.00 gamma=90.00
Space group Pm-3m (No. 221)
Asymmetric unit:
La 0.0000 0.0000 0.5000 (multiplicity 3)
Be 0.0000 0.0000 0.0000 (multiplicity 1)
Si 0.5000 0.5000 0.5000 (multiplicity 1)

## Properties
formation energy (no corrections): 20.1 kJ per mole of atoms
energy above the lowest structure with this stoichiometry: 0.000 eV/atom

***

Compound: LaBeSi
Source: Alexandria
Functional: PBE
Structure: relaxed

Unit cell a=3.9927 b=3.9927 c=4.4007 alpha=90.00 beta=90.00 gamma=120.00
Space group P-6m2 (No. 187)
Asymmetric unit:
La 0.0000 0.0000 0.0000 (multiplicity 1)
Be 0.6667 0.3333 0.5000 (multiplicity 1)
Si 0.3333 0.6667 0.5000 (multiplicity 1)

## Properties
formation energy (no corrections): -53.8 kJ per mole of atoms

***

Compound: LaBe2Si
Source: Alexandria
Functional: PBE
Structure: relaxed

Unit cell a=3.8606 b=3.8606 c=15.4897 alpha=90.00 beta=90.00 gamma=120.00
Space group R-3m (No. 166, hexagonal axes)
Asymmetric unit:
La 0.0000 0.0000 0.0000 (multiplicity 3)
Be 0.0000 0.0000 0.1979 (multiplicity 6)
Si 0.0000 0.0000 0.5000 (multiplicity 3)

## Properties
formation energy (no corrections): -19.7 kJ per mole of atoms

***

Compound: LaBeSi2
Source: Alexandria
Functional: PBE
Structure: relaxed

Unit cell a=4.0851 b=5.6441 c=6.6612 alpha=90.00 beta=90.00 gamma=90.00
Space group Cmmm (No. 65)
Asymmetric unit:
La 0.0000 0.0000 0.0000 (multiplicity 2)
Be 0.0000 0.0000 0.5000 (multiplicity 2)
Si 0.0000 0.5000 0.3214 (multiplicity 4)

## Properties
formation energy (no corrections): -5.4 kJ per mole of atoms

***

Compound: La2Be2Si
Source: Alexandria
Functional: PBE
Structure: relaxed

Unit cell a=6.6257 b=6.6257 c=4.6185 alpha=90.00 beta=90.00 gamma=90.00
Space group P4/mbm (No. 127)
Asymmetric unit:
La 0.1781 0.3220 0.0000 (multiplicity 4)
Be 0.1196 0.6196 0.5000 (multiplicity 4)
Si 0.0000 0.0000 0.5000 (multiplicity 2)

## Properties
formation energy (no corrections): -7.9 kJ per mole of atoms

***

Compound: LaBeSi2
Source: Alexandria
Functional: PBE
Structure: relaxed

Unit cell a=7.4973 b=3.7963 c=5.6371 alpha=90.00 beta=111.02 gamma=90.00
Space group Cm (No. 8)
Asymmetric unit:
La 0.0000 0.0000 0.0000 (multiplicity 2)
Be 0.2649 0.5000 0.3918 (multiplicity 2)
Si 0.2036 0.0000 0.6028 (multiplicity 2)
Si 0.4534 0.0000 0.4192 (multiplicity 2)

## Properties
formation energy (no corrections): -25.6 kJ per mole of atoms

***

Compound: LaBeSi2
Source: Alexandria
Functional: PBE
Structure: relaxed

Unit cell a=3.3007 b=3.3796 c=6.4605 alpha=90.00 beta=90.00 gamma=90.00
Space group Pmm2 (No. 25)
Asymmetric unit:
La 0.0000 0.0000 0.0000 (multiplicity 1)
Be 0.5000 0.5000 0.6685 (multiplicity 1)
Si 0.0000 0.0000 0.5133 (multiplicity 1)
Si 0.5000 0.5000 0.3283 (multiplicity 1)

## Properties
formation energy (no corrections): -1.0 kJ per mole of atoms

***

Compound: LaBeSi2
Source: Alexandria
Functional: PBE
Structure: relaxed

Unit cell a=3.3218 b=3.3218 c=6.5444 alpha=90.00 beta=90.00 gamma=90.00
Space group P4/mmm (No. 123)
Asymmetric unit:
La 0.0000 0.0000 0.0000 (multiplicity 1)
Be 0.0000 0.0000 0.5000 (multiplicity 1)
Si 0.5000 0.5000 0.3246 (multiplicity 2)

## Properties
formation energy (no corrections): -4.3 kJ per mole of atoms